Ca2Tl2Sn: optimized geometry, PBE.

## Properties
Total magnetic moment in μB per cell: 0.00
Calculated density in g cm⁻³: 6.679
Space group: P4/mbm
Final energy in eV per atom: -2.88
Distance to the lowest polymorph of the same formula in meV per atom: 0
Formation enthalpy at 0 K in eV/atom: -0.336

a = 7.9232 Å, b = 7.9232 Å, c = 4.8126 Å
α = 90.00°, β = 90.00°, γ = 90.00°
Atoms (fractional coordinates):
1 Ca 0.1713 0.3287 0.0000
2 Ca 0.3287 0.8287 0.0000
3 Ca 0.6713 0.1713 0.0000
4 Ca 0.8287 0.6713 0.0000
5 Tl 0.1342 0.6342 0.5000
6 Tl 0.3658 0.1342 0.5000
7 Tl 0.6342 0.8658 0.5000
8 Tl 0.8658 0.3658 0.5000
9 Sn 0.0000 0.0000 0.5000
10 Sn 0.5000 0.5000 0.5000


Ca6TlSn2: optimized geometry, PBE.

## Properties
Total magnetic moment in μB per cell: 0.00
Calculated density in g cm⁻³: 3.645
Space group: P2_1/c
Final energy in eV per atom: -2.87
Formation enthalpy at 0 K in eV/atom: -0.386

a = 7.1433 Å, b = 8.5422 Å, c = 11.8849 Å
α = 90.00°, β = 121.01°, γ = 90.00°
Atoms (fractional coordinates):
1 Ca 0.0720 0.0363 0.2260
2 Ca 0.0720 0.4637 0.7260
3 Ca 0.1789 0.6845 0.0609
4 Ca 0.1789 0.8155 0.5609
5 Ca 0.3991 0.1581 0.0646
6 Ca 0.3991 0.3419 0.5646
7 Ca 0.6009 0.6581 0.4354
8 Ca 0.6009 0.8419 0.9354
9 Ca 0.8211 0.1845 0.4391
10 Ca 0.8211 0.3155 0.9391
11 Ca 0.9280 0.5363 0.2740
12 Ca 0.9280 0.9637 0.7740
13 Tl 0.5000 0.0000 0.5000
14 Tl 0.5000 0.5000 0.0000
15 Sn 0.3195 0.1336 0.7587
16 Sn 0.3195 0.3664 0.2587
17 Sn 0.6805 0.6336 0.7413
18 Sn 0.6805 0.8664 0.2413


CaTl2Sn2: optimized geometry, PBE.

## Properties
Total magnetic moment in μB per cell: 0.00
Calculated density in g cm⁻³: 7.827
Space group: C2/m
Final energy in eV per atom: -3.16
Distance to the lowest polymorph of the same formula in meV per atom: 0
Formation enthalpy at 0 K in eV/atom: -0.214

a = 6.2459 Å, b = 6.2459 Å, c = 11.1582 Å
α = 93.99°, β = 93.99°, γ = 42.13°
Atoms (fractional coordinates):
1 Ca 0.2350 0.2350 0.2527
2 Ca 0.7650 0.7650 0.7473
3 Tl 0.0464 0.0464 0.8534
4 Tl 0.1472 0.1472 0.5549
5 Tl 0.8528 0.8528 0.4451
6 Tl 0.9536 0.9536 0.1466
7 Sn 0.3302 0.3302 0.9607
8 Sn 0.4565 0.4565 0.6312
9 Sn 0.5435 0.5435 0.3688
10 Sn 0.6698 0.6698 0.0393


CaTl6Sn: optimized geometry, PBE.

## Properties
Total magnetic moment in μB per cell: 0.00
Calculated density in g cm⁻³: 8.585
Space group: C2/m
Final energy in eV per atom: -2.50
Distance to the lowest polymorph of the same formula in meV per atom: 131
Formation enthalpy at 0 K in eV/atom: 0.026

a = 9.4806 Å, b = 6.6555 Å, c = 9.0496 Å
α = 90.00°, β = 110.22°, γ = 90.00°
Atoms (fractional coordinates):
1 Ca 0.0000 0.0000 0.0000
2 Ca 0.5000 0.5000 0.0000
3 Tl 0.1395 0.0000 0.4323
4 Tl 0.1939 0.2425 0.7960
5 Tl 0.1939 0.7575 0.7960
6 Tl 0.3061 0.2575 0.2040
7 Tl 0.3061 0.7425 0.2040
8 Tl 0.3605 0.5000 0.5677
9 Tl 0.6395 0.5000 0.4323
10 Tl 0.6939 0.2575 0.7960
11 Tl 0.6939 0.7425 0.7960
12 Tl 0.8061 0.2425 0.2040
13 Tl 0.8061 0.7575 0.2040
14 Tl 0.8605 0.0000 0.5677
15 Sn 0.0000 0.5000 0.5000
16 Sn 0.5000 0.0000 0.5000


CaTl6Sn2: optimized geometry, PBE.

## Properties
Total magnetic moment in μB per cell: 0.00
Calculated density in g cm⁻³: 9.373
Space group: P-3m1
Final energy in eV per atom: -2.79
Formation enthalpy at 0 K in eV/atom: -0.104

a = 5.4678 Å, b = 5.4678 Å, c = 10.2896 Å
α = 90.00°, β = 90.00°, γ = 120.00°
Atoms (fractional coordinates):
1 Ca 0.0000 0.0000 0.0000
2 Tl 0.0000 0.0000 0.3329
3 Tl 0.0000 0.0000 0.6671
4 Tl 0.3333 0.6667 0.5208
5 Tl 0.3333 0.6667 0.8736
6 Tl 0.6667 0.3333 0.1264
7 Tl 0.6667 0.3333 0.4792
8 Sn 0.3333 0.6667 0.1974
9 Sn 0.6667 0.3333 0.8026


CaTl3Sn: optimized geometry, PBE.

## Properties
Total magnetic moment in μB per cell: 0.00
Calculated density in g cm⁻³: 8.264
Space group: Pmmn
Final energy in eV per atom: -2.76
Distance to the lowest polymorph of the same formula in meV per atom: 18
Formation enthalpy at 0 K in eV/atom: -0.141

a = 4.6835 Å, b = 8.2719 Å, c = 8.0075 Å
α = 90.00°, β = 90.00°, γ = 90.00°
Atoms (fractional coordinates):
1 Ca 0.2500 0.2500 0.2215
2 Ca 0.7500 0.7500 0.7785
3 Tl 0.2500 0.0431 0.7649
4 Tl 0.2500 0.4569 0.7649
5 Tl 0.2500 0.7500 0.4616
6 Tl 0.7500 0.2500 0.5384
7 Tl 0.7500 0.5431 0.2351
8 Tl 0.7500 0.9569 0.2351
9 Sn 0.2500 0.7500 0.0673
10 Sn 0.7500 0.2500 0.9327


Ca4Tl5Sn2: optimized geometry, PBE.

## Properties
Total magnetic moment in μB per cell: 0.00
Calculated density in g cm⁻³: 7.229
Space group: P2/m
Final energy in eV per atom: -2.86
Formation enthalpy at 0 K in eV/atom: -0.329

a = 9.8906 Å, b = 3.7527 Å, c = 10.0283 Å
α = 90.00°, β = 118.82°, γ = 90.00°
Atoms (fractional coordinates):
1 Ca 0.2300 0.0000 0.2253
2 Ca 0.2537 0.0000 0.7592
3 Ca 0.7463 0.0000 0.2408
4 Ca 0.7700 0.0000 0.7747
5 Tl 0.0851 0.5000 0.9036
6 Tl 0.1298 0.5000 0.4497
7 Tl 0.5000 0.5000 0.5000
8 Tl 0.8702 0.5000 0.5503
9 Tl 0.9149 0.5000 0.0964
10 Sn 0.4404 0.5000 0.1201
11 Sn 0.5596 0.5000 0.8799


CaTlSn2: optimized geometry, PBE.

## Properties
Total magnetic moment in μB per cell: 0.00
Calculated density in g cm⁻³: 7.057
Space group: Cmmm
Final energy in eV per atom: -3.37
Formation enthalpy at 0 K in eV/atom: -0.280

a = 6.6079 Å, b = 9.6050 Å, c = 3.5729 Å
α = 90.00°, β = 90.00°, γ = 90.00°
Atoms (fractional coordinates):
1 Ca 0.0000 0.0000 0.0000
2 Ca 0.5000 0.5000 0.0000
3 Tl 0.0000 0.5000 0.0000
4 Tl 0.5000 0.0000 0.0000
5 Sn 0.2500 0.2500 0.5000
6 Sn 0.2500 0.7500 0.5000
7 Sn 0.7500 0.2500 0.5000
8 Sn 0.7500 0.7500 0.5000